# 1
First-principles (PBE) data for a relaxed structure of MgTc2Se, as listed in Alexandria via LeMat-Bulk.

Its formation energy from raw total energies is 20.3 kJ/mol of atoms. The energy above the most stable polymorph in this dataset is 0.211 eV per atom. For the density of states at the Fermi level, the calculation gives 0.868 states/eV per atom. As for the energy: -24.97 eV/cell.

Unit cell a=5.381 b=5.381 c=4.497 alpha=113.88 beta=113.88 gamma=32.88
Fractional positions:
Mg 0.000 0.000 0.000
Tc 0.214 0.214 0.715
Tc 0.786 0.786 0.285
Se 0.500 0.500 0.500

---

# 2
First-principles (PBE) data for a relaxed structure of Ho2Cu5Ni5, as listed in Alexandria via LeMat-Bulk.

The energy above the most stable polymorph in this dataset is 0.007 eV per atom. For the density of states at the Fermi level, the calculation gives 0.712 states/eV per atom. For the formation enthalpy at 0 K, the calculation gives -0.281 eV/atom. As for the energy: -61.92 eV/cell.

Unit cell a=3.977 b=4.966 c=8.563 alpha=90.00 beta=90.00 gamma=90.00
Fractional positions:
Ho 0.000 0.000 0.000
Ho 0.000 0.500 0.500
Cu 0.000 0.000 0.330
Cu 0.000 0.000 0.670
Cu 0.000 0.500 0.167
Cu 0.000 0.500 0.833
Cu 0.500 0.000 0.500
Ni 0.500 0.250 0.248
Ni 0.500 0.250 0.752
Ni 0.500 0.500 0.000
Ni 0.500 0.750 0.248
Ni 0.500 0.750 0.752

---

# 3
First-principles (PBE) data for a relaxed structure of LaMnNiAu2, as listed in Alexandria via LeMat-Bulk.

For the density of states at the Fermi level, the calculation gives 0.837 states/eV per atom. For the formation enthalpy at 0 K, the calculation gives -0.061 eV/atom. As for the energy: -26.74 eV/cell.

Unit cell a=4.950 b=4.950 c=4.458 alpha=90.00 beta=90.00 gamma=90.00
Fractional positions:
La 0.000 0.000 0.000
Mn 0.500 0.500 0.000
Ni 0.500 0.500 0.500
Au 0.000 0.500 0.500
Au 0.500 0.000 0.500

---

density of states at the Fermi level of number 3 (LaMnNiAu2)? 0.837 states/eV per atom